This record from Alexandria describes a relaxed structure of Na2CoRhO4. The functional is PBE+U.

Lattice parameters (Å, degrees): 5.285 3.044 5.503 90.00 108.56 90.00
Space group P2/m (No. 10)
Symmetry-distinct sites (fractional):
Na 0.000 0.000 0.000 [1 per cell]
Na 0.500 0.500 0.000 [1 per cell]
Co 0.000 0.500 0.500 [1 per cell]
Rh 0.500 0.000 0.500 [1 per cell]
O 0.218 0.000 0.693 [2 per cell]
O 0.252 0.500 0.304 [2 per cell]

Results
E_tot, eV/atom: -5.55